Here is a relaxed ZrTe2Ru crystal from Alexandria via LeMat-Bulk. Energies are from GGA-PBE.

Calculated values
DFT total energy: -6.326 eV/atom
energy above the most stable polymorph in this dataset: 168.8 meV/atom
energy relative to the elements, uncorrected: -0.30 eV/atom
volume: 96.21 Å³/cell

Unit cell a=3.285 b=3.285 c=8.916 alpha=90.00 beta=90.00 gamma=90.00
Space group P4mm (No. 99)
Asymmetric unit:
Zr  0.000  0.000  0.000 [1 per cell]
Te  0.000  0.000  0.371 [1 per cell]
Te  0.500  0.500  0.774 [1 per cell]
Ru  0.500  0.500  0.212 [1 per cell]

=====

Here is a relaxed ErIn2OsO8 crystal from Alexandria via LeMat-Bulk. Energies are from GGA-PBE.

Calculated values
DFT total energy: -6.755 eV/atom
energy relative to the elements, uncorrected: -1.68 eV/atom
volume: 160.50 Å³/cell

Unit cell a=4.933 b=6.582 c=4.944 alpha=90.00 beta=90.92 gamma=90.00
Space group P2/m (No. 10)
Asymmetric unit:
Er  0.000  0.000  0.000 [1 per cell]
In  0.500  0.248  0.500 [2 per cell]
Os  0.000  0.500  0.000 [1 per cell]
O  0.186  0.288  0.817 [4 per cell]
O  0.278  0.500  0.280 [2 per cell]
O  0.306  0.000  0.308 [2 per cell]

=====

Here is a relaxed Ta2MnBe crystal from Alexandria via LeMat-Bulk. Energies are from GGA-PBE.

Calculated values
DFT total energy: -9.159 eV/atom
E_form: -0.2 kcal/mol of atoms
volume: 56.40 Å³/cell

Unit cell a=3.086 b=3.086 c=5.923 alpha=90.00 beta=90.00 gamma=90.00
Space group P4mm (No. 99)
Asymmetric unit:
Ta  0.000  0.000  0.000 [1 per cell]
Ta  0.500  0.500  0.319 [1 per cell]
Mn  0.500  0.500  0.737 [1 per cell]
Be  0.000  0.000  0.568 [1 per cell]

=====

Here is a relaxed V13Ru3 crystal from Alexandria via LeMat-Bulk. Energies are from GGA-PBE.

Calculated values
DFT total energy: -9.366 eV/atom
E_form: -5.0 kcal/mol of atoms
volume: 429.40 Å³/cell

Unit cell a=5.988 b=8.449 c=8.487 alpha=90.00 beta=90.00 gamma=90.00
Space group Amm2 (No. 38)
Asymmetric unit:
V  0.000  0.000  0.000 [2 per cell]
V  0.000  0.000  0.501 [2 per cell]
V  0.000  0.247  0.750 [4 per cell]
V  0.249  0.000  0.746 [4 per cell]
V  0.250  0.249  0.998 [8 per cell]
V  0.500  0.000  0.500 [2 per cell]
V  0.500  0.248  0.247 [4 per cell]
Ru  0.247  0.000  0.252 [4 per cell]
Ru  0.500  0.000  0.987 [2 per cell]

=====

Q: Among the records above, which one has the lowest volume?
A: Ta2MnBe